Density functional theory data (PBE) for a relaxed structure of Tb5CoRu4. Values from VASP.

Output
The total energy comes out at -69.97 eV/f.u. The crystal system is tetragonal.

The structure in Quantum ESPRESSO input format:
```
&SYSTEM
  ibrav = 0, nat = 10, ntyp = 3
/
ATOMIC_SPECIES
Tb 158.93 Tb.upf
Co 58.93 Co.upf
Ru 101.07 Ru.upf
ATOMIC_POSITIONS crystal
Tb 0.000 0.000 0.000
Tb 0.000 0.000 0.201
Tb 0.000 0.000 0.401
Tb 0.000 0.000 0.599
Tb 0.000 0.000 0.799
Co 0.500 0.500 0.500
Ru 0.500 0.500 0.101
Ru 0.500 0.500 0.304
Ru 0.500 0.500 0.696
Ru 0.500 0.500 0.899
CELL_PARAMETERS angstrom
3.414 0.000 0.000
0.000 3.414 0.000
0.000 0.000 16.929
```



Density functional theory data (PBE) for a relaxed structure of Tb4CoRu2. Values from VASP.

Output
The total energy comes out at -45.65 eV/f.u. The crystal system is trigonal.

The structure in Quantum ESPRESSO input format:
```
&SYSTEM
  ibrav = 0, nat = 7, ntyp = 3
/
ATOMIC_SPECIES
Tb 158.93 Tb.upf
Co 58.93 Co.upf
Ru 101.07 Ru.upf
ATOMIC_POSITIONS crystal
Tb 0.124 0.124 0.124
Tb 0.375 0.375 0.375
Tb 0.625 0.625 0.625
Tb 0.876 0.876 0.876
Co 0.500 0.500 0.500
Ru 0.248 0.248 0.248
Ru 0.752 0.752 0.752
CELL_PARAMETERS angstrom
2.413 1.393 7.730
-2.413 1.393 7.730
0.000 -2.786 7.730
```



Density functional theory data (PBE) for a relaxed structure of Tb2Co3Ru. Values from VASP.

Output
The total energy comes out at -41.11 eV/f.u. The crystal system is monoclinic.

The structure in Quantum ESPRESSO input format:
```
&SYSTEM
  ibrav = 0, nat = 6, ntyp = 3
/
ATOMIC_SPECIES
Tb 158.93 Tb.upf
Co 58.93 Co.upf
Ru 101.07 Ru.upf
ATOMIC_POSITIONS crystal
Tb 0.125 0.125 0.376
Tb 0.875 0.875 0.624
Co 0.000 0.500 0.000
Co 0.500 0.000 0.000
Co 0.500 0.500 0.000
Ru 0.500 0.500 0.500
CELL_PARAMETERS angstrom
4.449 -2.565 0.000
4.449 2.565 0.000
-2.955 0.000 4.217
```



no.,E_form (kJ/mol of atoms)
1,-25.2
2,-20.3
3,-20.2